Run P
Ac4Cd2Ru: relaxed, PBE-GGA.

Space group: C2/m, No. 12
Total magnetic moment (μB/cell): 0.00
Crystal system: monoclinic

a b c (Å): 7.6692 7.6692 9.7936
angles (deg): 123.75 123.75 32.14
Sites, in units of the cell vectors:
Ac: 0.0942 0.0942 0.3576
Ac: 0.3436 0.3436 0.9394
Ac: 0.6564 0.6564 0.0606
Ac: 0.9058 0.9058 0.6424
Cd: 0.3855 0.3855 0.3365
Cd: 0.6145 0.6145 0.6635
Ru: 0.0000 0.0000 0.0000

***

Run Q
Ac4Cd2Ru: relaxed, PBE-GGA.

Space group: P2_1/m, No. 11
Total magnetic moment (μB/cell): 0.00
Crystal system: monoclinic

a b c (Å): 6.6895 7.2734 10.3689
angles (deg): 90.00 102.06 90.00
Sites, in units of the cell vectors:
Ac: 0.1886 0.2500 0.0997
Ac: 0.2429 0.0008 0.7502
Ac: 0.2429 0.4992 0.7502
Ac: 0.3039 0.7500 0.4112
Ac: 0.6961 0.2500 0.5888
Ac: 0.7571 0.5008 0.2498
Ac: 0.7571 0.9992 0.2498
Ac: 0.8114 0.7500 0.9003
Cd: 0.1632 0.2500 0.4479
Cd: 0.3571 0.7500 0.0472
Cd: 0.6429 0.2500 0.9528
Cd: 0.8368 0.7500 0.5521
Ru: 0.0244 0.7500 0.1685
Ru: 0.9756 0.2500 0.8315

***

Which one sits at the top of the stability order? run P does.

***

Run P
Ac7Cd2Ru2: relaxed, PBE-GGA.

Space group: Cmmm, No. 65
Total magnetic moment (μB/cell): 0.00
Crystal system: orthorhombic

a b c (Å): 7.4706 7.4706 7.6722
angles (deg): 90.00 90.00 110.69
Sites, in units of the cell vectors:
Ac: 0.0000 0.0000 0.0000
Ac: 0.0000 0.5000 0.2512
Ac: 0.0000 0.5000 0.7488
Ac: 0.5000 0.0000 0.2512
Ac: 0.5000 0.0000 0.7488
Ac: 0.5000 0.5000 0.2419
Ac: 0.5000 0.5000 0.7581
Cd: 0.1659 0.1659 0.5000
Cd: 0.8341 0.8341 0.5000
Ru: 0.3027 0.6973 0.0000
Ru: 0.6973 0.3027 0.0000

***

Run Q
Ac7Cd2Ru2: relaxed, PBE-GGA.

Space group: Imm2, No. 44
Total magnetic moment (μB/cell): 0.00
Crystal system: orthorhombic

a b c (Å): 10.2348 10.2348 10.2348
angles (deg): 156.80 72.22 112.71
Sites, in units of the cell vectors:
Ac: 0.0000 0.0000 0.0000
Ac: 0.0450 0.6933 0.3516
Ac: 0.3303 0.4985 0.8318
Ac: 0.3417 0.6933 0.6484
Ac: 0.6617 0.3120 0.3497
Ac: 0.6667 0.4985 0.1682
Ac: 0.9623 0.3120 0.6503
Cd: 0.4428 0.9428 0.5000
Cd: 0.6824 0.6824 0.0000
Ru: 0.1973 0.0059 0.1914
Ru: 0.8145 0.0059 0.8086

***

Which one sits at the top of the stability order? run P does.

***

Run P
Ac4Cd2S: relaxed, PBE-GGA.

Space group: I4/mmm, No. 139
Total magnetic moment (μB/cell): 0.00
Crystal system: tetragonal

a b c (Å): 9.0400 9.0400 9.0400
angles (deg): 142.68 142.68 53.80
Sites, in units of the cell vectors:
Ac: 0.0000 0.5000 0.5000
Ac: 0.1879 0.1879 0.0000
Ac: 0.5000 0.0000 0.5000
Ac: 0.8121 0.8121 0.0000
Cd: 0.3884 0.3884 0.0000
Cd: 0.6116 0.6116 0.0000
S: 0.0000 0.0000 0.0000

***

Run Q
Ac4Cd2S: relaxed, PBE-GGA.

Space group: C2/m, No. 12
Total magnetic moment (μB/cell): 0.00
Crystal system: monoclinic

a b c (Å): 7.4473 7.4473 9.5782
angles (deg): 122.43 122.43 34.51
Sites, in units of the cell vectors:
Ac: 0.0912 0.0912 0.3717
Ac: 0.3347 0.3347 0.9218
Ac: 0.6653 0.6653 0.0782
Ac: 0.9088 0.9088 0.6283
Cd: 0.3825 0.3825 0.3266
Cd: 0.6175 0.6175 0.6734
S: 0.0000 0.0000 0.0000

***

Which one sits at the top of the stability order? run Q does.

***

Run P
AcCdSb2: relaxed, PBE-GGA.

Space group: R-3m, No. 166
Total magnetic moment (μB/cell): 0.00
Crystal system: trigonal

a b c (Å): 6.1181 6.1181 6.1181
angles (deg): 49.96 49.96 49.96
Sites, in units of the cell vectors:
Ac: 0.0000 0.0000 0.0000
Cd: 0.5000 0.5000 0.5000
Sb: 0.2235 0.2235 0.2235
Sb: 0.7765 0.7765 0.7765

***

Run Q
AcCdSb2: relaxed, PBE-GGA.

Space group: P4/mmm, No. 123
Total magnetic moment (μB/cell): 0.00
Crystal system: tetragonal

a b c (Å): 5.1190 5.1190 4.5153
angles (deg): 90.00 90.00 90.00
Sites, in units of the cell vectors:
Ac: 0.0000 0.0000 0.0000
Cd: 0.5000 0.5000 0.0000
Sb: 0.0000 0.5000 0.5000
Sb: 0.5000 0.0000 0.5000

***

Which one sits at the top of the stability order? run Q does.

***

Run P
AcCdSb2: relaxed, PBE-GGA.

Space group: Fm-3m, No. 225
Total magnetic moment (μB/cell): 0.00
Crystal system: cubic

a b c (Å): 5.5566 5.5566 5.5566
angles (deg): 60.00 60.00 60.00
Sites, in units of the cell vectors:
Ac: 0.0000 0.0000 0.0000
Cd: 0.5000 0.5000 0.5000
Sb: 0.2500 0.2500 0.2500
Sb: 0.7500 0.7500 0.7500

***

Run Q
AcCdSb2: relaxed, PBE-GGA.

Space group: P4/nmm, No. 129
Total magnetic moment (μB/cell): 0.00
Crystal system: tetragonal

a b c (Å): 4.5948 4.5948 11.4809
angles (deg): 90.00 90.00 90.00
Sites, in units of the cell vectors:
Ac: 0.2500 0.2500 0.2236
Ac: 0.7500 0.7500 0.7764
Cd: 0.2500 0.7500 0.5000
Cd: 0.7500 0.2500 0.5000
Sb: 0.2500 0.2500 0.6808
Sb: 0.2500 0.7500 0.0000
Sb: 0.7500 0.2500 0.0000
Sb: 0.7500 0.7500 0.3192

***

Run R
AcCdSb2: relaxed, PBE-GGA.

Space group: P4/mmm, No. 123
Total magnetic moment (μB/cell): 0.00
Crystal system: tetragonal

a b c (Å): 4.2346 4.2346 6.7699
angles (deg): 90.00 90.00 90.00
Sites, in units of the cell vectors:
Ac: 0.0000 0.0000 0.0000
Cd: 0.0000 0.0000 0.5000
Sb: 0.5000 0.5000 0.2702
Sb: 0.5000 0.5000 0.7298

***

Which one sits at the top of the stability order? run Q does.

***

Run P
AcCd3Sb3: relaxed, PBE-GGA.

Space group: Pm-3n, No. 223
Total magnetic moment (μB/cell): 0.00
Crystal system: cubic

a b c (Å): 7.9141 7.9141 7.9141
angles (deg): 90.00 90.00 90.00
Sites, in units of the cell vectors:
Ac: 0.0000 0.0000 0.0000
Ac: 0.5000 0.5000 0.5000
Cd: 0.0000 0.2500 0.5000
Cd: 0.0000 0.7500 0.5000
Cd: 0.2500 0.5000 0.0000
Cd: 0.5000 0.0000 0.2500
Cd: 0.5000 0.0000 0.7500
Cd: 0.7500 0.5000 0.0000
Sb: 0.0000 0.5000 0.2500
Sb: 0.0000 0.5000 0.7500
Sb: 0.2500 0.0000 0.5000
Sb: 0.5000 0.2500 0.0000
Sb: 0.5000 0.7500 0.0000
Sb: 0.7500 0.0000 0.5000

***

Run Q
AcCd3Sb3: relaxed, PBE-GGA.

Space group: R-3, No. 148
Total magnetic moment (μB/cell): 0.00
Crystal system: trigonal

a b c (Å): 9.0987 9.0987 9.0987
angles (deg): 54.01 54.01 54.01
Sites, in units of the cell vectors:
Ac: 0.1665 0.1665 0.1665
Ac: 0.8335 0.8335 0.8335
Cd: 0.0321 0.3777 0.7233
Cd: 0.2767 0.9679 0.6223
Cd: 0.3777 0.7233 0.0321
Cd: 0.6223 0.2767 0.9679
Cd: 0.7233 0.0321 0.3777
Cd: 0.9679 0.6223 0.2767
Sb: 0.0964 0.7417 0.4196
Sb: 0.2583 0.5804 0.9036
Sb: 0.4196 0.0964 0.7417
Sb: 0.5804 0.9036 0.2583
Sb: 0.7417 0.4196 0.0964
Sb: 0.9036 0.2583 0.5804

***

Which one sits at the top of the stability order? run Q does.

***

Run P
AcScCd2: relaxed, PBE-GGA.

Space group: R-3m, No. 166
Total magnetic moment (μB/cell): 0.00
Crystal system: trigonal

a b c (Å): 10.3322 10.3322 10.3322
angles (deg): 20.35 20.35 20.35
Sites, in units of the cell vectors:
Ac: 0.0000 0.0000 0.0000
Sc: 0.5000 0.5000 0.5000
Cd: 0.2394 0.2394 0.2394
Cd: 0.7606 0.7606 0.7606

***

Run Q
AcScCd2: relaxed, PBE-GGA.

Space group: Fm-3m, No. 225
Total magnetic moment (μB/cell): 0.56
Crystal system: cubic

a b c (Å): 5.4419 5.4419 5.4419
angles (deg): 60.00 60.00 60.00
Sites, in units of the cell vectors:
Ac: 0.0000 0.0000 0.0000
Sc: 0.5000 0.5000 0.5000
Cd: 0.2500 0.2500 0.2500
Cd: 0.7500 0.7500 0.7500

***

Run R
AcScCd2: relaxed, PBE-GGA.

Space group: P4/mmm, No. 123
Total magnetic moment (μB/cell): 0.00
Crystal system: tetragonal

a b c (Å): 3.7258 3.7258 7.9414
angles (deg): 90.00 90.00 90.00
Sites, in units of the cell vectors:
Ac: 0.0000 0.0000 0.0000
Sc: 0.0000 0.0000 0.5000
Cd: 0.5000 0.5000 0.2986
Cd: 0.5000 0.5000 0.7014

***

Run S
AcScCd2: relaxed, PBE-GGA.

Space group: P4/mmm, No. 123
Total magnetic moment (μB/cell): 0.53
Crystal system: tetragonal

a b c (Å): 5.4232 5.4232 3.8709
angles (deg): 90.00 90.00 90.00
Sites, in units of the cell vectors:
Ac: 0.0000 0.0000 0.0000
Sc: 0.5000 0.5000 0.0000
Cd: 0.0000 0.5000 0.5000
Cd: 0.5000 0.0000 0.5000

***

Which one sits at the top of the stability order? run R does.

***

Run P
AcSc2Cd: relaxed, PBE-GGA.

Space group: P4/mmm, No. 123
Total magnetic moment (μB/cell): 0.00
Crystal system: tetragonal

a b c (Å): 5.3623 5.3623 3.7888
angles (deg): 90.00 90.00 90.00
Sites, in units of the cell vectors:
Ac: 0.0000 0.0000 0.0000
Sc: 0.0000 0.5000 0.5000
Sc: 0.5000 0.0000 0.5000
Cd: 0.5000 0.5000 0.0000

***

Run Q
AcSc2Cd: relaxed, PBE-GGA.

Space group: R-3m, No. 166
Total magnetic moment (μB/cell): 0.00
Crystal system: trigonal

a b c (Å): 11.5876 11.5876 11.5876
angles (deg): 17.06 17.06 17.06
Sites, in units of the cell vectors:
Ac: 0.0000 0.0000 0.0000
Sc: 0.0984 0.0984 0.0984
Sc: 0.9016 0.9016 0.9016
Cd: 0.5000 0.5000 0.5000

***

Which one sits at the top of the stability order? run P does.